# 1
This record from Alexandria via LeMat-Bulk describes a relaxed NdHgRh2 crystal. The functional is PBE.

Computed properties:
Energy of formation in eV/f.u.: -1.2

Cell and atoms, written as POSCAR:
```
NdHgRh2
1.0
3.492 0.000 0.000
0.000 3.492 0.000
0.000 0.000 6.427
Nd Hg Rh
1 1 2
direct
0.000 0.000 0.000
0.000 0.000 0.500
0.500 0.500 0.266
0.500 0.500 0.734
```

# 2
This record from Alexandria via LeMat-Bulk describes a relaxed BaInSe2 crystal. The functional is PBE.

Computed properties:
Formation energy without anion corrections in kJ/mol of formula units: -405

Cell and atoms, written as POSCAR:
```
BaInSe2
1.0
-3.368 3.368 7.336
3.368 -3.368 7.336
3.368 3.368 -7.336
Ba In Se
2 2 4
direct
0.000 0.000 0.000
0.750 0.250 0.500
0.250 0.750 0.500
0.500 0.500 0.000
0.177 0.625 0.052
0.375 0.427 0.552
0.573 0.125 0.948
0.875 0.823 0.448
```

# 3
This record from Alexandria via LeMat-Bulk describes a relaxed ThTlBi2 crystal. The functional is PBE.

Computed properties:
Energy relative to the lowest polymorph listed for this composition in eV per formula unit: 0.11
Energy of formation in eV/f.u.: -1.3

Cell and atoms, written as POSCAR:
```
ThTlBi2
1.0
5.259 0.000 0.000
0.000 5.259 0.000
0.000 0.000 4.357
Th Tl Bi
1 1 2
direct
0.000 0.000 0.000
0.500 0.500 0.000
0.000 0.500 0.500
0.500 0.000 0.500
```

# 4
This record from Alexandria via LeMat-Bulk describes a relaxed Rb3YNb crystal. The functional is PBE.

Computed properties:
Energy relative to the lowest polymorph listed for this composition in eV per formula unit: 0.00
Energy of formation in eV/f.u.: 7.9

Cell and atoms, written as POSCAR:
```
Rb3YNb
1.0
6.901 0.000 0.000
0.000 6.901 0.000
0.000 0.000 6.901
Rb Y Nb
3 1 1
direct
0.000 0.000 0.500
0.000 0.500 0.000
0.500 0.000 0.000
0.500 0.500 0.500
0.000 0.000 0.000
```

# 5
This record from Alexandria via LeMat-Bulk describes a relaxed KI3Br crystal. The functional is PBE.

Computed properties:
Energy relative to the lowest polymorph listed for this composition in eV per formula unit: 0.00
Formation energy without anion corrections in kJ/mol of formula units: -192

Cell and atoms, written as POSCAR:
```
KI3Br
1.0
6.065 0.000 0.000
0.000 6.065 0.000
0.000 0.000 6.065
K I Br
1 3 1
direct
0.000 0.000 0.000
0.000 0.500 0.500
0.500 0.000 0.500
0.500 0.500 0.000
0.500 0.500 0.500
```

# 6
This record from Alexandria via LeMat-Bulk describes a relaxed TiZn3Cd crystal. The functional is PBE.

Computed properties:
Energy relative to the lowest polymorph listed for this composition in eV per formula unit: 0.00
Energy of formation in eV/f.u.: 3.9

Cell and atoms, written as POSCAR:
```
TiZn3Cd
1.0
5.048 0.000 0.000
0.000 5.048 0.000
0.000 0.000 5.048
Ti Zn Cd
1 3 1
direct
0.000 0.000 0.000
0.000 0.000 0.500
0.000 0.500 0.000
0.500 0.000 0.000
0.500 0.500 0.500
```

# 7
This record from Alexandria via LeMat-Bulk describes a relaxed MgCrOs2 crystal. The functional is PBE.

Computed properties:
Energy of formation in eV/f.u.: 2.6

Cell and atoms, written as POSCAR:
```
MgCrOs2
1.0
-3.548 3.548 2.568
3.548 -3.548 2.568
3.548 3.548 -2.568
Mg Cr Os
2 2 4
direct
0.000 0.000 0.000
0.750 0.250 0.500
0.250 0.750 0.500
0.500 0.500 0.000
0.183 0.625 0.058
0.375 0.433 0.558
0.567 0.125 0.942
0.875 0.817 0.442
```

# 8
This record from Alexandria via LeMat-Bulk describes a relaxed Np4Mo crystal. The functional is PBE.

Computed properties:
Energy of formation in eV/f.u.: 5.9

Cell and atoms, written as POSCAR:
```
Np4Mo
1.0
5.209 0.000 0.000
0.000 5.209 0.000
0.000 0.000 5.209
Np Mo
4 1
direct
0.000 0.000 0.000
0.000 0.500 0.500
0.500 0.000 0.500
0.500 0.500 0.000
0.500 0.500 0.500
```

# 9
This record from Alexandria via LeMat-Bulk describes a relaxed NdZr2Pd crystal. The functional is PBE.

Computed properties:
Energy of formation in eV/f.u.: -0.8

Cell and atoms, written as POSCAR:
```
NdZr2Pd
1.0
3.424 0.000 0.000
0.000 3.424 0.000
0.000 0.000 7.865
Nd Zr Pd
1 2 1
direct
0.000 0.000 0.000
0.500 0.500 0.296
0.500 0.500 0.704
0.000 0.000 0.500
```

# 10
This record from Alexandria via LeMat-Bulk describes a relaxed Nd2SmDy8 crystal. The functional is PBE.

Computed properties:
Energy relative to the lowest polymorph listed for this composition in eV per formula unit: 1.51
Energy of formation in eV/f.u.: 1.7

Cell and atoms, written as POSCAR:
```
Nd2SmDy8
1.0
4.529 -8.060 0.000
4.529 8.060 0.000
-3.222 0.000 4.971
Nd Sm Dy
2 1 8
direct
0.194 0.806 0.000
0.806 0.194 0.000
0.500 0.500 0.500
0.072 0.072 0.295
0.169 0.401 0.826
0.292 0.708 0.500
0.401 0.169 0.826
0.599 0.831 0.174
0.708 0.292 0.500
0.831 0.599 0.174
0.928 0.928 0.705
```

# 11
This record from Alexandria via LeMat-Bulk describes a relaxed ScCuSnCl6 crystal. The functional is PBE.

Computed properties:
Formation energy without anion corrections in kJ/mol of formula units: -1139

Cell and atoms, written as POSCAR:
```
ScCuSnCl6
1.0
6.489 0.000 0.000
-3.245 5.620 0.000
0.000 0.000 12.540
Sc Cu Sn Cl
2 2 2 12
direct
0.333 0.667 0.250
0.667 0.333 0.750
0.333 0.667 0.750
0.667 0.333 0.250
0.000 0.000 0.000
0.000 0.000 0.500
0.003 0.360 0.136
0.003 0.644 0.364
0.356 0.360 0.364
0.356 0.997 0.136
0.360 0.003 0.636
0.360 0.356 0.864
0.640 0.644 0.136
0.640 0.997 0.364
0.644 0.003 0.864
0.644 0.640 0.636
0.997 0.356 0.636
0.997 0.640 0.864
```

# 12
This record from Alexandria via LeMat-Bulk describes a relaxed AcPbO2F crystal. The functional is PBE.

Computed properties:
Formation energy without anion corrections in kJ/mol of formula units: -1306

Cell and atoms, written as POSCAR:
```
AcPbO2F
1.0
7.046 0.000 0.000
0.000 4.121 0.000
-2.973 0.000 7.616
Ac Pb O F
2 2 4 2
direct
0.246 0.250 0.444
0.754 0.750 0.556
0.237 0.750 0.047
0.763 0.250 0.953
0.115 0.250 0.119
0.388 0.750 0.362
0.612 0.250 0.638
0.885 0.750 0.881
0.141 0.750 0.596
0.859 0.250 0.404
```

# 13
This record from Alexandria via LeMat-Bulk describes a relaxed Tb6CeSm4 crystal. The functional is PBE.

Computed properties:
Energy of formation in eV/f.u.: 3.4

Cell and atoms, written as POSCAR:
```
Tb6CeSm4
1.0
-3.305 3.305 8.537
3.305 -3.305 8.537
3.305 3.305 -8.537
Tb Ce Sm
6 1 4
direct
0.000 0.500 0.500
0.190 0.190 0.635
0.445 0.810 0.000
0.500 0.000 0.500
0.555 0.555 0.365
0.810 0.445 0.000
0.000 0.000 0.000
0.015 0.636 0.000
0.364 0.364 0.379
0.636 0.015 0.000
0.985 0.985 0.621
```

# 14
This record from Alexandria via LeMat-Bulk describes a relaxed Sc4ZnAgAu2 crystal. The functional is PBE.

Computed properties:
Energy of formation in eV/f.u.: -4.6

Cell and atoms, written as POSCAR:
```
Sc4ZnAgAu2
1.0
2.402 1.387 7.851
-2.402 1.387 7.851
0.000 -2.774 7.851
Sc Zn Ag Au
4 1 1 2
direct
0.124 0.124 0.124
0.374 0.374 0.374
0.626 0.626 0.626
0.876 0.876 0.876
0.000 0.000 0.000
0.500 0.500 0.500
0.252 0.252 0.252
0.748 0.748 0.748
```

# 15
This record from Alexandria via LeMat-Bulk describes a relaxed KAsPt2 crystal. The functional is PBE.

Computed properties:
Energy of formation in eV/f.u.: 1.3

Cell and atoms, written as POSCAR:
```
KAsPt2
1.0
-2.083 2.083 4.353
2.083 -2.083 4.353
2.083 2.083 -4.353
K As Pt
1 1 2
direct
0.000 0.000 0.000
0.750 0.250 0.500
0.250 0.750 0.500
0.500 0.500 0.000
```

# 16
This record from Alexandria via LeMat-Bulk describes a relaxed KPbNF2 crystal. The functional is PBE.

Computed properties:
Energy relative to the lowest polymorph listed for this composition in eV per formula unit: 3.36
Formation energy without anion corrections in kJ/mol of formula units: -180

Cell and atoms, written as POSCAR:
```
KPbNF2
1.0
4.647 0.000 0.000
0.000 4.647 0.000
0.000 0.000 4.917
K Pb N F
1 1 1 2
direct
0.000 0.000 0.000
0.500 0.500 0.500
0.000 0.000 0.500
0.000 0.500 0.000
0.500 0.000 0.000
```

# 17
This record from Alexandria via LeMat-Bulk describes a relaxed SmY2Te4 crystal. The functional is PBE.

Computed properties:
Energy relative to the lowest polymorph listed for this composition in eV per formula unit: 0.00
Formation energy without anion corrections in kJ/mol of formula units: -954

Cell and atoms, written as POSCAR:
```
SmY2Te4
1.0
8.261 -2.187 0.000
8.261 2.187 0.000
-3.446 0.000 6.774
Sm Y Te
1 2 4
direct
0.000 0.000 0.000
0.256 0.256 0.269
0.744 0.744 0.731
0.123 0.123 0.456
0.368 0.368 0.030
0.632 0.632 0.970
0.877 0.877 0.544
```

# 18
This record from Alexandria via LeMat-Bulk describes a relaxed AlMo2Se crystal. The functional is PBE.

Computed properties:
Energy relative to the lowest polymorph listed for this composition in eV per formula unit: 0.72
Formation energy without anion corrections in kJ/mol of formula units: 35

Cell and atoms, written as POSCAR:
```
AlMo2Se
1.0
3.073 0.000 0.000
0.000 3.073 0.000
0.000 0.000 6.560
Al Mo Se
1 2 1
direct
0.000 0.000 0.000
0.500 0.500 0.262
0.500 0.500 0.738
0.000 0.000 0.500
```

# 19
This record from Alexandria via LeMat-Bulk describes a relaxed Zr4Al2Ni crystal. The functional is PBE.

Computed properties:
Energy relative to the lowest polymorph listed for this composition in eV per formula unit: 2.35
Energy of formation in eV/f.u.: 0.6

Cell and atoms, written as POSCAR:
```
Zr4Al2Ni
1.0
3.053 0.000 0.000
-1.527 2.644 0.000
0.000 0.000 17.630
Zr Al Ni
4 2 1
direct
0.000 0.000 0.000
0.000 0.000 0.420
0.667 0.333 0.257
0.667 0.333 0.721
0.333 0.667 0.860
0.667 0.333 0.559
0.000 0.000 0.144
```

# 20
This record from Alexandria via LeMat-Bulk describes a relaxed ZnSb2Pb crystal. The functional is PBE.

Computed properties:
Formation energy without anion corrections in kJ/mol of formula units: 82

Cell and atoms, written as POSCAR:
```
ZnSb2Pb
1.0
3.205 -5.115 0.000
3.205 5.115 0.000
-0.383 0.000 3.280
Zn Sb Pb
1 2 1
direct
0.000 0.000 0.000
0.000 0.500 0.500
0.500 0.000 0.500
0.500 0.500 0.000
```